(1)
Below is ZrFeNi6 at its PBEsol-relaxed geometry, with properties calculated at the meta-GGA SCAN level.

Properties
The calculation puts the formation energy from the elements at -246 meV per atom. Its space group is No. 65.

Cell lengths 6.2210, 6.2210, 10.2013 Å; angles 90.00, 90.00, 109.78 degrees
Each line ends with the local moment (μB).
Fractional coordinates of all 32 atoms:
Ni 0.6182 0.8632 0.6313  0.21
Ni 0.5000 0.5000 0.0000  0.77
Ni 0.2544 0.7456 0.2408  0.45
Fe 0.7568 0.2432 0.0000  3.31
Ni 0.5000 0.5000 0.5000  0.33
Ni 0.1308 0.3870 0.1193  0.63
Zr 0.0000 0.0000 0.2458  -0.11
Ni 0.1368 0.3818 0.6313  0.21
Ni 0.0000 0.0000 0.5000  0.02
Ni 0.8632 0.6182 0.6313  0.21
Ni 0.3870 0.1308 0.8807  0.63
Ni 0.7456 0.2544 0.7592  0.45
Ni 0.6182 0.8632 0.3687  0.21
Ni 0.3870 0.1308 0.1193  0.63
Ni 0.0000 0.0000 0.0000  0.43
Fe 0.2432 0.7568 0.0000  3.31
Ni 0.1308 0.3870 0.8807  0.63
Ni 0.8692 0.6130 0.1193  0.63
Zr 0.0000 0.0000 0.7542  -0.11
Fe 0.5000 0.5000 0.2439  3.34
Ni 0.8632 0.6182 0.3687  0.21
Ni 0.3818 0.1368 0.3687  0.21
Ni 0.1368 0.3818 0.3687  0.21
Ni 0.6130 0.8692 0.1193  0.63
Ni 0.3818 0.1368 0.6313  0.21
Ni 0.7456 0.2544 0.2408  0.45
Zr 0.2457 0.7543 0.5000  -0.06
Zr 0.7543 0.2457 0.5000  -0.06
Fe 0.5000 0.5000 0.7561  3.34
Ni 0.8692 0.6130 0.8807  0.63
Ni 0.2544 0.7456 0.7592  0.45
Ni 0.6130 0.8692 0.8807  0.63

(2)
Below is Rb3BiW at its PBEsol-relaxed geometry, with properties calculated at the meta-GGA SCAN level.

Properties
The calculation puts the formation energy from the elements at 1466 meV per atom. Its space group is No. 221.

Cell lengths 6.5860, 6.5860, 6.5860 Å; angles 90.00, 90.00, 90.00 degrees
Each line ends with the local moment (μB).
Fractional coordinates of all 5 atoms:
W 0.0000 0.0000 0.0000  3.48
Rb 0.0000 0.5000 0.0000  0.03
Rb 0.0000 0.0000 0.5000  0.03
Rb 0.5000 0.0000 0.0000  0.03
Bi 0.5000 0.5000 0.5000  0.50

(3)
Below is Li4MnVP3O12 at its PBEsol-relaxed geometry, with properties calculated at the meta-GGA SCAN level.

Properties
The value obtained for the uncorrected formation energy is -2.56 eV per atom. Its space group is No. 2.

Cell lengths 8.2665, 8.3170, 9.1946 Å; angles 116.71, 90.47, 119.44 degrees
Each line ends with the local moment (μB).
Fractional coordinates of all 42 atoms:
P 0.4566 0.5092 0.2464  0.02
Li 0.3395 0.0716 0.1478  0.00
O 0.1493 0.0029 0.2602  0.02
O 0.1707 0.6789 0.1780  0.01
P 0.7468 0.1922 0.2378  0.01
P 0.2532 0.8078 0.7622  0.01
O 0.2057 0.7383 0.8986  0.00
P 0.5434 0.4908 0.7536  0.02
O 0.4964 0.6566 0.1722  0.00
Li 0.7377 0.8052 0.1336  0.00
O 0.5036 0.3434 0.8278  0.00
V 0.6486 0.3107 0.9694  1.87
O 0.8293 0.3211 0.8220  0.01
O 0.2118 0.6187 0.5901  0.02
O 0.1525 0.3625 0.8887  0.00
V 0.3514 0.6893 0.0306  1.87
P 0.0532 0.7843 0.2479  0.01
O 0.7500 0.5728 0.7312  0.02
O 0.7882 0.3813 0.4099  0.02
Li 0.6605 0.9284 0.8522  0.00
O 0.8507 0.9971 0.7398  0.02
P 0.9468 0.2157 0.7521  0.01
O 0.9598 0.2106 0.5852  0.02
O 0.2500 0.4272 0.2688  0.02
O 0.0402 0.7894 0.4148  0.02
O 0.5509 0.6952 0.8963  0.01
Li 0.9390 0.6317 0.9051  0.00
O 0.7943 0.2617 0.1014  0.00
Li 0.7964 0.3319 0.5910  0.00
O 0.3879 0.3711 0.5907  0.02
O 0.6121 0.6289 0.4093  0.02
Li 0.0610 0.3683 0.0949  0.00
O 0.4730 0.9914 0.8273  0.00
Mn 0.8516 0.7107 0.5605  4.59
Li 0.2623 0.1948 0.8664  0.00
O 0.8725 0.1074 0.2461  0.02
O 0.8475 0.6375 0.1113  0.00
Li 0.2036 0.6681 0.4090  0.00
Mn 0.1484 0.2893 0.4395  4.59
O 0.1275 0.8926 0.7539  0.02
O 0.5270 0.0086 0.1727  0.00
O 0.4491 0.3048 0.1037  0.01

(4)
Below is ZrPSeCl2 at its PBEsol-relaxed geometry, with properties calculated at the meta-GGA SCAN level.

Properties
The value obtained for the uncorrected formation energy is 0.43 eV per atom. Its space group is No. 123.

Cell lengths 4.6588, 4.6588, 5.1332 Å; angles 90.00, 90.00, 90.00 degrees
Each line ends with the local moment (μB).
Fractional coordinates of all 5 atoms:
Cl 0.0000 0.5000 0.0000  0.01
Zr 0.5000 0.5000 0.5000  1.24
Cl 0.5000 0.0000 0.0000  0.01
P 0.0000 0.0000 0.5000  -0.10
Se 0.0000 0.0000 0.0000  0.04

(5)
Below is Al2P2N at its PBEsol-relaxed geometry, with properties calculated at the meta-GGA SCAN level.

Properties
The value obtained for the uncorrected formation energy is 0.67 eV per atom. Its space group is No. 127.

Cell lengths 3.5938, 6.2683, 6.2683 Å; angles 90.00, 90.00, 90.00 degrees
Fractional coordinates of all 10 atoms:
P 0.0000 0.1927 0.3073
Al 0.5000 0.3600 0.1400
Al 0.5000 0.8600 0.3600
P 0.0000 0.3073 0.8073
N 0.0000 0.0000 0.0000
N 0.0000 0.5000 0.5000
P 0.0000 0.8073 0.6927
P 0.0000 0.6927 0.1927
Al 0.5000 0.6400 0.8600
Al 0.5000 0.1400 0.6400

(6)
Below is La2PbO at its PBEsol-relaxed geometry, with properties calculated at the meta-GGA SCAN level.

Properties
The value obtained for the uncorrected formation energy is -1.04 eV per atom. Its space group is No. 225.

Cell lengths 5.2202, 5.2202, 5.2202 Å; angles 60.00, 60.00, 60.00 degrees
Fractional coordinates of all 4 atoms:
La 0.2500 0.2500 0.2500
La 0.7500 0.7500 0.7500
O 0.0000 0.0000 0.0000
Pb 0.5000 0.5000 0.5000

Number 1: theoretical density 8.9 g/cm3. Number 2: theoretical density 3.8 g/cm3. Number 3: theoretical density 3.0 g/cm3. Number 4: theoretical density 4.1 g/cm3. Number 5: theoretical density 3.1 g/cm3. Number 6: theoretical density 8.3 g/cm3.